This record from Alexandria describes a relaxed structure of BaGd2Dy. The functional is PBE.

ΔH_f (0 K) = 0.14 eV/atom
N(E_F) = 1.8357 states/eV/atom
space group = No. 123
VASP energy = -34.1 eV/cell
energy above the lowest structure with this stoichiometry = 0 meV per atom

Lattice parameters (Å, degrees): 3.713 3.713 10.821 90.00 90.00 90.00
Fractional coordinates of all 4 atoms:
Ba  0.000  0.000  0.000
Gd  0.500  0.500  0.285
Gd  0.500  0.500  0.715
Dy  0.000  0.000  0.500

This record from Alexandria describes a relaxed structure of BaDyGe2. The functional is PBE.

ΔH_f (0 K) = -0.43 eV/atom
N(E_F) = 1.1503 states/eV/atom
space group = No. 166
VASP energy = -17.5 eV/cell

Lattice parameters (Å, degrees): 6.944 6.944 6.944 39.94 39.94 39.94
Fractional coordinates of all 4 atoms:
Ba  0.000  0.000  0.000
Dy  0.500  0.500  0.500
Ge  0.222  0.222  0.222
Ge  0.778  0.778  0.778

This record from Alexandria describes a relaxed structure of BaDyGe. The functional is PBE.

ΔH_f (0 K) = -0.54 eV/atom
N(E_F) = 1.0864 states/eV/atom
space group = No. 129
VASP energy = -25.5 eV/cell

Lattice parameters (Å, degrees): 5.079 5.079 7.771 90.00 90.00 90.00
Fractional coordinates of all 6 atoms:
Ba  0.250  0.250  0.135
Ba  0.750  0.750  0.865
Dy  0.250  0.750  0.500
Dy  0.750  0.250  0.500
Ge  0.250  0.250  0.696
Ge  0.750  0.750  0.304

This record from Alexandria describes a relaxed structure of BaDy4Ge4. The functional is PBE.

ΔH_f (0 K) = -0.65 eV/atom
N(E_F) = 0.4339 states/eV/atom
space group = No. 86
VASP energy = -89.3 eV/cell

Lattice parameters (Å, degrees): 9.664 9.664 5.734 90.00 90.00 90.00
Fractional coordinates of all 18 atoms:
Ba  0.250  0.250  0.250
Ba  0.750  0.750  0.750
Dy  0.117  0.629  0.136
Dy  0.129  0.883  0.636
Dy  0.371  0.617  0.636
Dy  0.383  0.871  0.136
Dy  0.617  0.129  0.864
Dy  0.629  0.383  0.364
Dy  0.871  0.117  0.364
Dy  0.883  0.371  0.864
Ge  0.070  0.926  0.149
Ge  0.074  0.570  0.649
Ge  0.426  0.930  0.649
Ge  0.430  0.574  0.149
Ge  0.570  0.426  0.851
Ge  0.574  0.070  0.351
Ge  0.926  0.430  0.351
Ge  0.930  0.074  0.851

This record from Alexandria describes a relaxed structure of BaDy2GeN4. The functional is PBE.

space group = No. 63
VASP energy = -114.7 eV/cell
E_form (uncorrected) = -799 kJ/mol of formula units

Lattice parameters (Å, degrees): 6.377 6.377 11.879 90.00 90.00 148.48
Fractional coordinates of all 16 atoms:
Ba  0.090  0.910  0.750
Ba  0.910  0.090  0.250
Dy  0.369  0.631  0.539
Dy  0.369  0.631  0.961
Dy  0.631  0.369  0.039
Dy  0.631  0.369  0.461
Ge  0.182  0.818  0.250
Ge  0.818  0.182  0.750
N  0.000  0.000  0.000
N  0.000  0.000  0.500
N  0.258  0.742  0.117
N  0.258  0.742  0.383
N  0.406  0.594  0.750
N  0.594  0.406  0.250
N  0.742  0.258  0.617
N  0.742  0.258  0.883

This record from Alexandria describes a relaxed structure of Ba3DyGe2O8. The functional is PBE.

N(E_F) = 0.2374 states/eV/atom
space group = No. 164
VASP energy = -93.0 eV/cell
E_form (uncorrected) = -3256 kJ/mol of formula units

Lattice parameters (Å, degrees): 6.032 6.032 7.698 90.00 90.00 120.00
Fractional coordinates of all 14 atoms:
Ba  0.000  0.000  0.000
Ba  0.333  0.667  0.667
Ba  0.667  0.333  0.333
Dy  0.000  0.000  0.500
Ge  0.333  0.667  0.219
Ge  0.667  0.333  0.781
O  0.173  0.345  0.322
O  0.173  0.827  0.322
O  0.333  0.667  0.990
O  0.345  0.173  0.678
O  0.655  0.827  0.322
O  0.667  0.333  0.010
O  0.827  0.173  0.678
O  0.827  0.655  0.678

This record from Alexandria describes a relaxed structure of Ba3DyGe2O9. The functional is PBE.

N(E_F) = 0.5940 states/eV/atom
space group = No. 164
VASP energy = -99.8 eV/cell
E_form (uncorrected) = -3430 kJ/mol of formula units

Lattice parameters (Å, degrees): 5.828 5.828 7.178 90.00 90.00 120.00
Fractional coordinates of all 15 atoms:
Ba  0.000  0.000  0.000
Ba  0.333  0.667  0.680
Ba  0.667  0.333  0.320
Dy  0.000  0.000  0.500
Ge  0.333  0.667  0.171
Ge  0.667  0.333  0.829
O  0.000  0.500  0.000
O  0.178  0.356  0.314
O  0.178  0.822  0.314
O  0.356  0.178  0.686
O  0.500  0.000  0.000
O  0.500  0.500  0.000
O  0.644  0.822  0.314
O  0.822  0.178  0.686
O  0.822  0.644  0.686

This record from Alexandria describes a relaxed structure of BaDyGe2Pt5. The functional is PBE.

ΔH_f (0 K) = -0.73 eV/atom
N(E_F) = 0.2641 states/eV/atom
space group = No. 123
VASP energy = -52.6 eV/cell

Lattice parameters (Å, degrees): 4.248 4.248 11.393 90.00 90.00 90.00
Fractional coordinates of all 9 atoms:
Ba  0.000  0.000  0.000
Dy  0.000  0.000  0.500
Ge  0.500  0.500  0.214
Ge  0.500  0.500  0.786
Pt  0.000  0.500  0.324
Pt  0.000  0.500  0.676
Pt  0.500  0.000  0.324
Pt  0.500  0.000  0.676
Pt  0.500  0.500  0.000